(1)
AgWO6: relaxed, GGA+U.

Cell: 4.6828 4.6828 4.6828 Å, 87.67 87.67 87.67°
Fractional coordinates of all 8 atoms:
Ag 0.0000 0.0000 0.0000
W 0.5000 0.5000 0.5000
O 0.2217 0.2217 0.6278
O 0.2217 0.6278 0.2217
O 0.3722 0.7783 0.7782
O 0.6278 0.2218 0.2218
O 0.7782 0.3722 0.7782
O 0.7782 0.7782 0.3722

Calculated values
M_tot, μB per formula unit: 1.078
Calculated total energy, eV per atom: -5.234
Space group: R-3m


(2)
AgWO3: relaxed, GGA+U.

Cell: 4.0054 4.0054 4.0054 Å, 90.00 90.00 90.00°
Fractional coordinates of all 5 atoms:
Ag 0.0000 0.0000 0.0000
W 0.5000 0.5000 0.5000
O 0.0000 0.0000 0.5000
O 0.0000 0.5000 0.0000
O 0.5000 0.0000 0.0000

Calculated values
M_tot, μB per formula unit: 3.057
Calculated total energy, eV per atom: -4.443
Space group: Pm-3m


(3)
AgWO3: relaxed, GGA+U.

Cell: 3.9419 3.9419 3.9419 Å, 90.00 90.00 90.00°
Fractional coordinates of all 5 atoms:
Ag 0.0000 0.0000 0.0000
W 0.5000 0.5000 0.5000
O 0.0000 0.5000 0.5000
O 0.5000 0.0000 0.5000
O 0.5000 0.5000 0.0000

Calculated values
M_tot, μB per formula unit: 0.000
Calculated total energy, eV per atom: -6.248
Space group: Pm-3m


(4)
AgW2O7: relaxed, GGA+U.

Cell: 5.9904 5.9904 3.8332 Å, 90.00 90.00 115.34°
Fractional coordinates of all 10 atoms:
Ag 0.0000 0.0000 0.0000
W 0.3096 0.6904 0.5000
W 0.6904 0.3096 0.5000
O 0.0385 0.3313 0.5000
O 0.3073 0.6927 0.0000
O 0.3313 0.0385 0.5000
O 0.5000 0.5000 0.5000
O 0.6687 0.9615 0.5000
O 0.6927 0.3073 0.0000
O 0.9615 0.6687 0.5000

Calculated values
M_tot, μB per formula unit: 0.875
Calculated total energy, eV per atom: -6.633
Space group: Cmmm


(5)
AgWO2: relaxed, GGA+U.

Cell: 2.8530 2.8530 21.5372 Å, 90.00 90.00 120.00°
Fractional coordinates of all 12 atoms:
Ag 0.0000 0.0000 0.0000
Ag 0.3333 0.6667 0.6667
Ag 0.6667 0.3333 0.3333
W 0.0000 0.0000 0.5000
W 0.3333 0.6667 0.1667
W 0.6667 0.3333 0.8333
O 0.0000 0.0000 0.1035
O 0.0000 0.0000 0.8965
O 0.3333 0.6667 0.5632
O 0.3333 0.6667 0.7702
O 0.6667 0.3333 0.2298
O 0.6667 0.3333 0.4368

Calculated values
M_tot, μB per formula unit: 0.000
Calculated total energy, eV per atom: -5.776
Space group: R-3m


(6)
AgWO2: relaxed, GGA+U.

Cell: 4.5709 4.5709 12.1750 Å, 90.00 90.00 90.00°
Fractional coordinates of all 16 atoms:
Ag 0.0000 0.0000 0.0000
Ag 0.0000 0.5000 0.2500
Ag 0.5000 0.0000 0.7500
Ag 0.5000 0.5000 0.5000
W 0.0000 0.0000 0.5000
W 0.0000 0.5000 0.7500
W 0.5000 0.0000 0.2500
W 0.5000 0.5000 0.0000
O 0.1633 0.2500 0.6250
O 0.2500 0.6633 0.8750
O 0.2500 0.8367 0.3750
O 0.3367 0.2500 0.1250
O 0.6633 0.7500 0.1250
O 0.7500 0.1633 0.3750
O 0.7500 0.3367 0.8750
O 0.8367 0.7500 0.6250

Calculated values
M_tot, μB per formula unit: 2.593
Calculated total energy, eV per atom: -5.640
Space group: I-42d


The highest M_tot belongs to which entry?
number 2


Which of these has the highest M_tot?
number 2


What is the formula in the sixth record?
AgWO2